No. 1
The following is a PBE calculation of an optimized crystal structure of Ac12Ir5Pd2, from the Alexandria database.

```
data_Ac12Ir5Pd2
_cell_length_a 15.9922
_cell_length_b 8.2811
_cell_length_c 10.6104
_cell_angle_alpha 90.00
_cell_angle_beta 107.24
_cell_angle_gamma 90.00
_space_group_name_H-M_alt 'C 1 2/m 1'
_space_group_IT_number 12
loop_
_space_group_symop_operation_xyz
'x,y,z'
'-x,-y,-z'
'-x,y,-z'
'x,-y,z'
'x+1/2,y+1/2,z'
'-x+1/2,-y+1/2,-z'
'-x+1/2,y+1/2,-z'
'x+1/2,-y+1/2,z'
loop_
_atom_site_label
_atom_site_fract_x
_atom_site_fract_y
_atom_site_fract_z
Ac1 0.0427 0.0000 0.3280
Ac2 0.0764 0.5000 0.3145
Ac3 0.1304 0.2533 0.0039
Ac4 0.1919 0.2433 0.6521
Ir1 0.0000 0.5000 0.0000
Ir2 0.2135 0.0000 0.8811
Ir3 0.2329 0.0000 0.4787
Pd1 0.0000 0.2811 0.5000
```

=====

No. 2
The following is a PBE calculation of an optimized crystal structure of Ac5Ir2Pd, from the Alexandria database.

```
data_Ac5Ir2Pd
_cell_length_a 6.0145
_cell_length_b 13.7969
_cell_length_c 14.7902
_cell_angle_alpha 90.00
_cell_angle_beta 90.00
_cell_angle_gamma 90.00
_space_group_name_H-M_alt 'C m c m'
_space_group_IT_number 63
_space_group_name_Hall '-C 2c 2'
loop_
_atom_site_label
_atom_site_fract_x
_atom_site_fract_y
_atom_site_fract_z
Ac1 0.0000 0.0528 0.1169
Ac2 0.0000 0.2415 0.7500
Ac3 0.0000 0.3344 0.0594
Ir1 0.0000 0.1493 0.5590
Pd1 0.0000 0.2233 0.2500
```

=====

No. 3
The following is a PBE calculation of an optimized crystal structure of Ac8IrPd4, from the Alexandria database.

```
data_Ac8IrPd4
_cell_length_a 8.8023
_cell_length_b 8.8023
_cell_length_c 21.1483
_cell_angle_alpha 90.00
_cell_angle_beta 90.00
_cell_angle_gamma 120.00
_space_group_name_H-M_alt 'R -3 m'
_space_group_IT_number 166
_space_group_name_Hall '-R 3 2"'
loop_
_atom_site_label
_atom_site_fract_x
_atom_site_fract_y
_atom_site_fract_z
Ac1 0.0000 0.0000 0.2455
Ac2 0.0110 0.5055 0.7501
Ir1 0.0000 0.0000 0.0000
Pd1 0.0000 0.0000 0.5000
Pd2 0.0000 0.5000 0.5000
```

=====

No. 4
The following is a PBE calculation of an optimized crystal structure of Ac4IrPd2, from the Alexandria database.

```
data_Ac4IrPd2
_cell_length_a 15.8818
_cell_length_b 4.4691
_cell_length_c 7.5761
_cell_angle_alpha 90.00
_cell_angle_beta 118.04
_cell_angle_gamma 90.00
_space_group_name_H-M_alt 'C 1 2/m 1'
_space_group_IT_number 12
loop_
_space_group_symop_operation_xyz
'x,y,z'
'-x,-y,-z'
'-x,y,-z'
'x,-y,z'
'x+1/2,y+1/2,z'
'-x+1/2,-y+1/2,-z'
'-x+1/2,y+1/2,-z'
'x+1/2,-y+1/2,z'
loop_
_atom_site_label
_atom_site_fract_x
_atom_site_fract_y
_atom_site_fract_z
Ac1 0.1203 0.0000 0.2760
Ac2 0.1279 0.5000 0.8056
Ir1 0.0000 0.5000 0.0000
Pd1 0.2444 0.0000 0.7431
```

=====

No. 5
The following is a PBE calculation of an optimized crystal structure of Ac3Ir7Pd2, from the Alexandria database.

```
data_Ac3Ir7Pd2
_cell_length_a 5.4728
_cell_length_b 5.4728
_cell_length_c 27.1983
_cell_angle_alpha 90.00
_cell_angle_beta 90.00
_cell_angle_gamma 120.00
_space_group_name_H-M_alt 'R -3 m'
_space_group_IT_number 166
_space_group_name_Hall '-R 3 2"'
loop_
_atom_site_label
_atom_site_fract_x
_atom_site_fract_y
_atom_site_fract_z
Ac1 0.0000 0.0000 0.0000
Ac2 0.0000 0.0000 0.1400
Ir1 0.0000 0.0000 0.5000
Ir2 0.9996 0.4998 0.0824
Pd1 0.0000 0.0000 0.3325
```

=====

No. 6
The following is a PBE calculation of an optimized crystal structure of Ac8Ir3Pd2, from the Alexandria database.

```
data_Ac8Ir3Pd2
_cell_length_a 8.8448
_cell_length_b 8.8448
_cell_length_c 14.0961
_cell_angle_alpha 90.00
_cell_angle_beta 90.00
_cell_angle_gamma 120.00
_space_group_name_H-M_alt 'P 63 m c'
_space_group_IT_number 186
_space_group_name_Hall 'P 6c -2c'
loop_
_atom_site_label
_atom_site_fract_x
_atom_site_fract_y
_atom_site_fract_z
Ac1 0.0000 0.0000 0.0000
Ac2 0.0214 0.5107 0.0090
Ac3 0.1650 0.3300 0.2800
Ac4 0.3333 0.6667 0.7783
Ir1 0.1674 0.3348 0.8906
Pd1 0.3333 0.6667 0.1542
Pd2 0.3333 0.6667 0.4018
```

=====

No. 7
The following is a PBE calculation of an optimized crystal structure of Ac4Ir2Pd, from the Alexandria database.

```
data_Ac4Ir2Pd
_cell_length_a 9.3786
_cell_length_b 9.6824
_cell_length_c 10.1683
_cell_angle_alpha 90.00
_cell_angle_beta 90.00
_cell_angle_gamma 90.00
_space_group_name_H-M_alt 'I m m a'
_space_group_IT_number 74
_space_group_name_Hall '-I 2b 2'
loop_
_atom_site_label
_atom_site_fract_x
_atom_site_fract_y
_atom_site_fract_z
Ac1 0.0000 0.0548 0.2172
Ac2 0.1980 0.2500 0.5374
Ir1 0.0000 0.0000 0.5000
Ir2 0.2500 0.2500 0.2500
Pd1 0.0000 0.2500 0.8470
```

=====

No. 8
The following is a PBE calculation of an optimized crystal structure of Ac4IrPd3, from the Alexandria database.

```
data_Ac4IrPd3
_cell_length_a 4.1595
_cell_length_b 4.6411
_cell_length_c 11.5833
_cell_angle_alpha 90.00
_cell_angle_beta 90.00
_cell_angle_gamma 90.00
_space_group_name_H-M_alt 'P m m 2'
_space_group_IT_number 25
loop_
_space_group_symop_operation_xyz
'x,y,z'
'-x,-y,z'
'-x,y,z'
'x,-y,z'
loop_
_atom_site_label
_atom_site_fract_x
_atom_site_fract_y
_atom_site_fract_z
Ac1 0.0000 0.0000 0.0000
Ac2 0.0000 0.5000 0.2608
Ac3 0.5000 0.0000 0.4802
Ac4 0.5000 0.5000 0.7589
Ir1 0.5000 0.0000 0.2154
Pd1 0.0000 0.0000 0.7103
Pd2 0.0000 0.5000 0.5420
Pd3 0.5000 0.5000 0.0370
```

=====

| no. | VASP energy (eV per cell) | formation energy from the elements (kcal/mol of atoms) |
| --- | --- | --- |
| 1 | -228.6 | -12.50 |
| 2 | -191.8 | -12.92 |
| 3 | -210.6 | -13.67 |
| 4 | -80.6 | -15.25 |
| 5 | -271.5 | -11.08 |
| 6 | -156.5 | -14.91 |
| 7 | -174.6 | -14.20 |
| 8 | -47.1 | -17.84 |